A.
An optimized crystal structure of CdH3N. Source: the Alexandria database, functional GGA-PBE.

Lattice parameters (Å, degrees): 2.937 5.255 7.307 90.00 96.19 90.00
Element x y z (fractional)
Cd: 0.246 0.250 0.465
Cd: 0.754 0.750 0.535
H: 0.001 0.750 0.002
H: 0.251 0.502 0.914
H: 0.251 0.998 0.914
H: 0.749 0.002 0.086
H: 0.749 0.498 0.086
H: 0.999 0.250 0.998
N: 0.000 0.000 0.000
N: 0.000 0.500 0.000

SG = P2_1/m, No. 11
Crystal system = monoclinic
Volume = 112 Å³/cell

B.
An optimized crystal structure of CdH3N. Source: the Alexandria database, functional GGA-PBE.

Lattice parameters (Å, degrees): 3.815 3.815 3.815 90.00 90.00 90.00
Element x y z (fractional)
Cd: 0.000 0.000 0.000
H: 0.000 0.000 0.500
H: 0.000 0.500 0.000
H: 0.500 0.000 0.000
N: 0.500 0.500 0.500

SG = Pm-3m, No. 221
Crystal system = cubic
Volume = 56 Å³/cell

C.
An optimized crystal structure of CdH3N. Source: the Alexandria database, functional GGA-PBE.

Lattice parameters (Å, degrees): 3.392 3.392 3.392 90.00 90.00 90.00
Element x y z (fractional)
Cd: 0.000 0.000 0.000
H: 0.000 0.500 0.500
H: 0.500 0.000 0.500
H: 0.500 0.500 0.000
N: 0.500 0.500 0.500

SG = Pm-3m, No. 221
Crystal system = cubic
Volume = 39 Å³/cell

The energy of each structure relative to the most stable one, in meV per atom, is as follows: A 0; B 1197; C 918.

A.
An optimized crystal structure of CdHS2N. Source: the Alexandria database, functional GGA-PBE.

Lattice parameters (Å, degrees): 5.224 5.224 4.463 90.00 90.00 90.00
Element x y z (fractional)
Cd: 0.000 0.000 0.000
H: 0.500 0.500 0.500
S: 0.000 0.500 0.000
S: 0.500 0.000 0.000
N: 0.000 0.000 0.500

SG = P4/mmm, No. 123
Crystal system = tetragonal
Volume = 122 Å³/cell

B.
An optimized crystal structure of CdHS2N. Source: the Alexandria database, functional GGA-PBE.

Lattice parameters (Å, degrees): 3.496 3.496 6.591 90.00 90.00 90.00
Element x y z (fractional)
Cd: 0.000 0.000 0.000
H: 0.500 0.500 0.500
S: 0.000 0.500 0.500
S: 0.500 0.000 0.500
N: 0.500 0.500 0.000

SG = P4/mmm, No. 123
Crystal system = tetragonal
Volume = 81 Å³/cell

The energy of each structure relative to the most stable one, in meV per atom, is as follows: A 713; B 0.

A.
An optimized crystal structure of NaCd2H. Source: the Alexandria database, functional GGA-PBE.

Lattice parameters (Å, degrees): 4.938 4.938 4.938 60.00 60.00 60.00
Element x y z (fractional)
Na: 0.000 0.000 0.000
Cd: 0.250 0.250 0.250
Cd: 0.750 0.750 0.750
H: 0.500 0.500 0.500

SG = Fm-3m, No. 225
Crystal system = cubic
Volume = 85 Å³/cell

B.
An optimized crystal structure of NaCd2H. Source: the Alexandria database, functional GGA-PBE.

Lattice parameters (Å, degrees): 6.065 6.065 6.065 101.08 101.08 128.00
Element x y z (fractional)
Na: 0.000 0.000 0.000
Na: 0.750 0.250 0.500
Cd: 0.208 0.125 0.583
Cd: 0.375 0.792 0.917
Cd: 0.542 0.625 0.417
Cd: 0.875 0.458 0.083
H: 0.250 0.750 0.500
H: 0.500 0.500 0.000

SG = I-42d, No. 122
Crystal system = tetragonal
Volume = 158 Å³/cell

The energy of each structure relative to the most stable one, in meV per atom, is as follows: A 296; B 0.

A.
An optimized crystal structure of Na2CdH2. Source: the Alexandria database, functional GGA-PBE.

Lattice parameters (Å, degrees): 7.001 7.001 3.173 90.00 90.00 90.00
Element x y z (fractional)
Na: 0.150 0.350 0.000
Na: 0.350 0.850 0.000
Na: 0.650 0.150 0.000
Na: 0.850 0.650 0.000
Cd: 0.000 0.000 0.500
Cd: 0.500 0.500 0.500
H: 0.151 0.651 0.500
H: 0.349 0.151 0.500
H: 0.651 0.849 0.500
H: 0.849 0.349 0.500

SG = P4/mbm, No. 127
Crystal system = tetragonal
Volume = 156 Å³/cell

B.
An optimized crystal structure of Na2CdH2. Source: the Alexandria database, functional GGA-PBE.

Lattice parameters (Å, degrees): 6.327 6.327 6.327 140.25 140.25 57.48
Element x y z (fractional)
Na: 0.194 0.194 0.000
Na: 0.806 0.806 0.000
Cd: 0.500 0.500 0.000
H: 0.250 0.750 0.500
H: 0.750 0.250 0.500

SG = I4/mmm, No. 139
Crystal system = tetragonal
Volume = 103 Å³/cell

The energy of each structure relative to the most stable one, in meV per atom, is as follows: A 13; B 0.

A.
An optimized crystal structure of Na2CdSbH. Source: the Alexandria database, functional GGA-PBE.

Lattice parameters (Å, degrees): 4.481 4.481 5.028 90.00 90.00 90.00
Element x y z (fractional)
Na: 0.000 0.500 0.000
Na: 0.500 0.000 0.000
Cd: 0.000 0.000 0.500
Sb: 0.500 0.500 0.500
H: 0.000 0.000 0.000

SG = P4/mmm, No. 123
Crystal system = tetragonal
Volume = 101 Å³/cell

B.
An optimized crystal structure of Na2CdSbH. Source: the Alexandria database, functional GGA-PBE.

Lattice parameters (Å, degrees): 6.726 4.719 7.887 90.00 109.63 90.00
Element x y z (fractional)
Na: 0.129 0.250 0.390
Na: 0.248 0.250 0.942
Na: 0.752 0.750 0.058
Na: 0.871 0.750 0.610
Cd: 0.394 0.750 0.305
Cd: 0.606 0.250 0.695
Sb: 0.356 0.750 0.689
Sb: 0.644 0.250 0.311
H: 0.115 0.750 0.152
H: 0.885 0.250 0.848

SG = P2_1/m, No. 11
Crystal system = monoclinic
Volume = 236 Å³/cell

C.
An optimized crystal structure of Na2CdSbH. Source: the Alexandria database, functional GGA-PBE.

Lattice parameters (Å, degrees): 4.875 4.875 4.439 90.00 90.00 90.00
Element x y z (fractional)
Na: 0.000 0.500 0.000
Na: 0.500 0.000 0.000
Cd: 0.000 0.000 0.500
Sb: 0.500 0.500 0.500
H: 0.500 0.500 0.000

SG = P4/mmm, No. 123
Crystal system = tetragonal
Volume = 106 Å³/cell

The energy of each structure relative to the most stable one, in meV per atom, is as follows: A 62; B 0; C 205.

A.
An optimized crystal structure of Na2CdSnH. Source: the Alexandria database, functional GGA-PBE.

Lattice parameters (Å, degrees): 4.459 4.459 5.216 90.00 90.00 90.00
Element x y z (fractional)
Na: 0.000 0.500 0.000
Na: 0.500 0.000 0.000
Cd: 0.000 0.000 0.500
Sn: 0.500 0.500 0.500
H: 0.000 0.000 0.000

SG = P4/mmm, No. 123
Crystal system = tetragonal
Volume = 104 Å³/cell

B.
An optimized crystal structure of Na2CdSnH. Source: the Alexandria database, functional GGA-PBE.

Lattice parameters (Å, degrees): 4.693 4.693 4.744 90.00 90.00 90.00
Element x y z (fractional)
Na: 0.000 0.500 0.000
Na: 0.500 0.000 0.000
Cd: 0.000 0.000 0.500
Sn: 0.500 0.500 0.500
H: 0.500 0.500 0.000

SG = P4/mmm, No. 123
Crystal system = tetragonal
Volume = 104 Å³/cell

The energy of each structure relative to the most stable one, in meV per atom, is as follows: A 0; B 39.

A.
An optimized crystal structure of NaCd2SnH. Source: the Alexandria database, functional GGA-PBE.

Lattice parameters (Å, degrees): 4.749 4.749 4.395 90.00 90.00 90.00
Element x y z (fractional)
Na: 0.000 0.000 0.000
Cd: 0.000 0.500 0.500
Cd: 0.500 0.000 0.500
Sn: 0.500 0.500 0.000
H: 0.000 0.000 0.500

SG = P4/mmm, No. 123
Crystal system = tetragonal
Volume = 99 Å³/cell

B.
An optimized crystal structure of NaCd2SnH. Source: the Alexandria database, functional GGA-PBE.

Lattice parameters (Å, degrees): 5.828 5.828 3.824 90.00 90.00 90.00
Element x y z (fractional)
Na: 0.000 0.000 0.000
Cd: 0.000 0.500 0.500
Cd: 0.500 0.000 0.500
Sn: 0.500 0.500 0.500
H: 0.500 0.500 0.000

SG = P4/mmm, No. 123
Crystal system = tetragonal
Volume = 130 Å³/cell

The energy of each structure relative to the most stable one, in meV per atom, is as follows: A 0; B 116.

A.
An optimized crystal structure of Na2ZnCdH. Source: the Alexandria database, functional GGA-PBE.

Lattice parameters (Å, degrees): 4.559 4.559 4.643 90.00 90.00 90.00
Element x y z (fractional)
Na: 0.000 0.500 0.000
Na: 0.500 0.000 0.000
Zn: 0.000 0.000 0.500
Cd: 0.500 0.500 0.500
H: 0.500 0.500 0.000

SG = P4/mmm, No. 123
Crystal system = tetragonal
Volume = 97 Å³/cell

B.
An optimized crystal structure of Na2ZnCdH. Source: the Alexandria database, functional GGA-PBE.

Lattice parameters (Å, degrees): 4.736 4.736 4.217 90.00 90.00 90.00
Element x y z (fractional)
Na: 0.000 0.500 0.000
Na: 0.500 0.000 0.000
Zn: 0.000 0.000 0.500
Cd: 0.500 0.500 0.500
H: 0.000 0.000 0.000

SG = P4/mmm, No. 123
Crystal system = tetragonal
Volume = 95 Å³/cell

The energy of each structure relative to the most stable one, in meV per atom, is as follows: A 20; B 0.